VASP calculation (PBE-GGA) on a relaxed structure of Zr4AlZn.

Summary:
Crystal system: trigonal
DOS(E_F), states/eV per atom: 0.968
Energy above the lowest structure with this stoichiometry, eV/atom: 0.3839

a b c (Å): 7.9664 7.9664 7.9664
angles (deg): 33.55 33.55 33.55
With the nearest neighbours (Å) after each atom.
Fractional coordinates of all 6 atoms:
Zr  0.1237  0.1237  0.1237  1 Zn 2.79, 3 Al 2.83
Zr  0.3738  0.3738  0.3738  3 Zn 2.81, 1 Al 2.84
Zr  0.6262  0.6262  0.6262  3 Zn 2.81, 1 Al 2.84
Zr  0.8763  0.8763  0.8763  1 Zn 2.79, 3 Al 2.83
Al  0.5000  0.5000  0.5000  8 Zr 2.83-2.84
Zn  0.0000  0.0000  0.0000  8 Zr 2.79-2.81

VASP calculation (PBE-GGA) on a relaxed structure of BaLaIr.

Summary:
Crystal system: orthorhombic
DOS(E_F), states/eV per atom: 0.934
Energy above the lowest structure with this stoichiometry, eV/atom: 0.1343

a b c (Å): 5.2786 5.2866 14.6232
angles (deg): 90.00 90.00 90.00
With the nearest neighbours (Å) after each atom.
Fractional coordinates of all 12 atoms:
Ba  0.0000  0.0000  0.0000  4 Ir 3.41-3.42, 1 La 3.51, 4 Ba 3.74
Ba  0.0000  0.5000  0.5000  4 Ir 3.41-3.42, 1 La 3.51, 4 Ba 3.74
Ba  0.5000  0.0000  0.5000  4 Ir 3.41-3.42, 1 La 3.51, 4 Ba 3.74
Ba  0.5000  0.5000  0.0000  4 Ir 3.41-3.42, 1 La 3.51, 4 Ba 3.74
La  0.0000  0.0000  0.7602  4 Ir 2.96-2.97
La  0.0000  0.5000  0.2602  4 Ir 2.96-2.97
La  0.5000  0.0000  0.2602  4 Ir 2.96-2.97
La  0.5000  0.5000  0.7602  4 Ir 2.96-2.97
Ir  0.0000  0.0000  0.3521  4 La 2.96-2.97
Ir  0.0000  0.5000  0.8521  4 La 2.96-2.97
Ir  0.5000  0.0000  0.8521  4 La 2.96-2.97
Ir  0.5000  0.5000  0.3521  4 La 2.96-2.97

no.,M_tot (Bohr magnetons per cell)
1,0.000
2,0.000